Here is a geometry-optimized Li12MgTl6 structure from Alexandria. Energies are from PBE-GGA.

```
Li12MgTl6
1.0
5.167 2.983 4.273
-5.167 2.983 4.273
0.000 -5.967 4.273
Li Mg Tl
12 1 6
direct
0.028 0.308 0.927
0.073 0.972 0.692
0.120 0.352 0.462
0.308 0.927 0.028
0.352 0.462 0.120
0.462 0.120 0.352
0.538 0.880 0.648
0.648 0.538 0.880
0.692 0.073 0.972
0.880 0.648 0.538
0.927 0.028 0.308
0.972 0.692 0.073
0.500 0.500 0.500
0.212 0.768 0.371
0.232 0.629 0.788
0.371 0.212 0.768
0.629 0.788 0.232
0.768 0.371 0.212
0.788 0.232 0.629
```

Values from the calculation:
- VASP energy: -2.22 eV per atom
- Symmetry: R-3 (148)
- DFT formation energy: -3.4 eV per formula unit